# 1
## ScHgSe2 (PBE)

Data for a relaxed ScHgSe2 crystal.

Values from the calculation:
- DOS(E_F): 1.34 states/eV/cell
- Formation energy without anion corrections: -0.64 eV/atom
- Electronic total energy: -4.043 eV/atom
- Total magnetization: 0.00 μB/f.u.

POSCAR file:
```
ScHgSe2
1.0
-4.0766 -0.8648 0.5576
0.4652 -4.5065 -3.5884
0.8515 -2.1785 2.8463
Hg Se Sc
1 2 1
Cartesian
-1.6126 -1.5216 1.7019
-1.8057 -2.6857 -1.5154
0.0000 0.0000 0.0000
0.6583 -3.3425 -0.3711
```

***

# 2
## ScHgSe (PBE)

Data for a relaxed ScHgSe crystal.

Values from the calculation:
- DOS(E_F): 2.95 states/eV/cell
- E above lowest polymorph: 0.4334 eV per atom
- Formation energy without anion corrections: -0.39 eV/atom
- Electronic total energy: -3.765 eV/atom
- Total magnetization: 0.00 μB/f.u.

POSCAR file:
```
ScHgSe
1.0
4.7720 0.0000 0.0000
2.3860 4.1327 0.0000
2.3860 1.3776 3.8963
Hg Sc Se
1 1 1
Cartesian
0.0000 0.0000 0.0000
4.7720 2.7551 1.9482
2.3860 1.3776 0.9741
```

***

# 3
## ScHgSe2 (PBE)

Data for a relaxed ScHgSe2 crystal.

Values from the calculation:
- DOS(E_F): 3.50 states/eV/cell
- Formation energy without anion corrections: -0.30 eV/atom
- Electronic total energy: -3.705 eV/atom
- Total magnetization: 0.00 μB/f.u.

POSCAR file:
```
ScHgSe2
1.0
4.9823 0.0000 0.0000
2.4911 4.3148 0.0000
2.4911 1.4383 4.0680
Se Sc Hg
2 1 1
Cartesian
0.0000 0.0000 0.0000
2.4911 1.4383 1.0170
7.4734 4.3148 3.0510
4.9823 2.8765 2.0340
```

***

# 4
## ScHgSe2 (PBE)

Data for a relaxed ScHgSe2 crystal.

Values from the calculation:
- DOS(E_F): 2.40 states/eV/cell
- Formation energy without anion corrections: -0.96 eV/atom
- Electronic total energy: -4.357 eV/atom
- Total magnetization: 0.00 μB/f.u.

POSCAR file:
```
ScHgSe2
1.0
7.6719 -0.0078 -0.0047
6.6594 3.8094 -0.0047
6.6594 1.7665 3.3750
Se Hg Sc
2 1 1
Cartesian
0.3140 0.0833 0.0503
10.1814 2.7008 1.6325
5.2477 1.3920 0.8414
15.7430 4.1761 2.5242
```

***

# 5
## ScHgSe (PBE)

Data for a relaxed ScHgSe crystal.

Values from the calculation:
- DOS(E_F): 3.74 states/eV/cell
- E above lowest polymorph: 0.2444 eV per atom
- Formation energy without anion corrections: -0.58 eV/atom
- Electronic total energy: -3.954 eV/atom
- Total magnetization: 0.70 μB/f.u.

POSCAR file:
```
ScHgSe
1.0
-4.4832 -1.5505 0.1950
-1.8262 -2.4461 -3.6364
-0.8888 -4.6403 0.4683
Se Sc Hg
1 1 1
Cartesian
0.0000 0.0000 0.0000
-1.7995 -2.1592 -0.7433
-3.5991 -4.3184 -1.4865
```

***

# 6
## ScHgSe2 (PBE)

Data for a relaxed ScHgSe2 crystal.

Values from the calculation:
- DOS(E_F): 6.17 states/eV/cell
- Formation energy without anion corrections: -0.82 eV/atom
- Electronic total energy: -4.217 eV/atom
- Total magnetization: 0.00 μB/f.u.

POSCAR file:
```
ScHgSe2
1.0
-1.5550 -5.1678 3.6348
6.1735 -2.0390 -0.2578
3.5558 -0.4614 6.6889
Hg Se Sc
2 4 2
Cartesian
0.0000 0.0000 0.0000
2.1550 -4.6163 6.0061
6.4362 -6.5622 7.9829
0.7573 -3.3725 3.7517
4.4846 -2.2633 2.1255
4.6707 -3.1384 6.2717
6.0193 -3.0519 4.0598
2.3093 -3.6034 1.6885
```

***

# 7
## ScHgSe2 (PBE)

Data for a relaxed ScHgSe2 crystal.

Values from the calculation:
- DOS(E_F): 1.73 states/eV/cell
- Formation energy without anion corrections: -0.84 eV/atom
- Electronic total energy: -4.237 eV/atom
- Total magnetization: 0.00 μB/f.u.

POSCAR file:
```
ScHgSe2
1.0
7.3713 0.0195 0.0030
5.4552 4.9575 -0.0030
-6.3322 -2.6972 2.6389
Se Hg Sc
2 1 1
Cartesian
4.0402 0.0272 1.3210
0.8029 0.3115 0.0000
5.8452 2.2681 0.0000
2.2192 2.1614 1.3179
```

***

# 8
## ScHgSe2 (PBE)

Data for a relaxed ScHgSe2 crystal.

Values from the calculation:
- DOS(E_F): 1.79 states/eV/cell
- Formation energy without anion corrections: -0.82 eV/atom
- Electronic total energy: -4.220 eV/atom
- Total magnetization: 0.00 μB/f.u.

POSCAR file:
```
ScHgSe2
1.0
3.4869 0.0000 0.0000
0.0000 3.4593 0.1108
0.0000 5.1366 8.2940
Hg Sc Se
1 1 2
Cartesian
1.7434 2.1490 2.1012
1.7434 6.4469 6.3036
0.0000 4.8605 4.7782
0.0000 8.0334 7.8290
```

***

# 9
## Sc2HgSe4 (PBE)

Data for a relaxed Sc2HgSe4 crystal.

Values from the calculation:
- DOS(E_F): 2.71 states/eV/cell
- Formation energy without anion corrections: -1.27 eV/atom
- Electronic total energy: -5.114 eV/atom
- Total magnetization: 0.00 μB/f.u.

POSCAR file:
```
Sc2HgSe4
1.0
8.0471 0.0000 0.0000
-4.0236 6.5856 -2.2898
0.0000 -0.0810 13.9408
Se Sc Hg
16 8 4
Cartesian
2.0122 5.0889 10.4811
6.0352 1.5647 0.9619
-0.1812 1.4996 11.7292
3.8423 4.9645 6.8922
4.2015 1.5024 11.7310
2.0114 1.4157 1.1699
-0.1779 5.0023 -0.0800
2.0116 4.9805 3.7187
-2.0122 5.1294 3.5107
0.1812 1.5401 4.7587
4.2048 5.0050 -0.0782
6.0358 1.3752 8.1403
-2.0116 4.9400 10.6891
2.0120 1.5242 7.9323
3.8457 1.5429 4.7606
0.1779 4.9618 6.8904
6.0317 -0.0608 10.4556
2.0118 3.2523 5.8255
-2.0118 3.2928 -1.1449
4.0236 0.0000 0.0000
4.0236 -0.0405 6.9704
0.0000 -0.0405 6.9704
2.0155 -0.0203 3.4852
0.0000 0.0000 0.0000
6.0374 2.4451 3.4985
2.0138 4.1000 1.1821
-2.0138 4.0595 8.1525
2.0097 2.4046 10.4689
```

***

# 10
## ScHgSe2 (PBE)

Data for a relaxed ScHgSe2 crystal.

Values from the calculation:
- DOS(E_F): 1.40 states/eV/cell
- Formation energy without anion corrections: -0.65 eV/atom
- Electronic total energy: -4.047 eV/atom
- Total magnetization: 0.00 μB/f.u.

POSCAR file:
```
ScHgSe2
1.0
-2.9964 -6.0674 -0.0770
0.7681 -4.7658 4.7428
-1.8127 6.3001 -1.6793
Hg Se Sc
1 2 1
Cartesian
-2.9616 -2.5920 0.2883
-0.9123 -4.4354 1.9103
-0.2018 -0.9812 0.4226
-1.0794 -1.9412 2.6982
```

***

# 11
## ScHgSe3 (PBE)

Data for a relaxed ScHgSe3 crystal.

Values from the calculation:
- DOS(E_F): 2.02 states/eV/cell
- E above lowest polymorph: 0.5675 eV per atom
- Formation energy without anion corrections: 0.21 eV/atom
- Electronic total energy: -3.203 eV/atom
- Total magnetization: 0.00 μB/f.u.

POSCAR file:
```
ScHgSe3
1.0
-3.7850 0.5991 3.4763
-1.9108 -4.6342 -1.2818
2.9652 -2.2215 3.6114
Se Sc Hg
3 1 1
Cartesian
1.4826 -1.1108 1.8057
-0.9554 -2.3171 -0.6409
-1.8925 0.2996 1.7382
-1.3653 -3.1283 2.9029
0.0000 0.0000 0.0000
```

***

# 12
## ScHgSe2 (PBE)

Data for a relaxed ScHgSe2 crystal.

Values from the calculation:
- DOS(E_F): 0.98 states/eV/cell
- Formation energy without anion corrections: -0.62 eV/atom
- Electronic total energy: -4.025 eV/atom
- Total magnetization: 0.00 μB/f.u.

POSCAR file:
```
ScHgSe2
1.0
-2.3101 -2.5402 -3.6007
1.6854 -4.3372 1.7614
-2.9791 -1.1270 1.8422
Sc Se Hg
1 2 1
Cartesian
-0.6469 -2.7321 1.8018
0.0000 0.0000 0.0000
-0.3124 -3.4387 -0.9197
-2.6446 -1.8336 -0.8792
```

***

# 13
## ScHg3Se (PBE)

Data for a relaxed ScHg3Se crystal.

Values from the calculation:
- DOS(E_F): 4.25 states/eV/cell
- E above lowest polymorph: 0.0000 eV per atom
- Formation energy without anion corrections: 0.41 eV/atom
- Electronic total energy: -1.734 eV/atom
- Total magnetization: 0.38 μB/f.u.

POSCAR file:
```
ScHg3Se
1.0
-4.7284 -2.7260 0.9234
2.5247 -4.7812 -1.1867
1.3820 -0.5925 5.3274
Se Sc Hg
1 1 3
Cartesian
-0.4109 -4.0499 2.5321
0.0000 0.0000 0.0000
-2.3642 -1.3630 0.4617
1.2623 -2.3906 -0.5934
0.6910 -0.2963 2.6637
```

***

# 14
## ScHg4Se (PBE)

Data for a relaxed ScHg4Se crystal.

Values from the calculation:
- DOS(E_F): 3.79 states/eV/cell
- Formation energy without anion corrections: 0.10 eV/atom
- Electronic total energy: -1.734 eV/atom
- Total magnetization: 0.19 μB/f.u.

POSCAR file:
```
ScHg4Se
1.0
0.0000 4.1999 4.1999
4.1999 0.0000 4.1999
4.1999 4.1999 0.0000
Hg Sc Se
4 1 1
Cartesian
5.2504 3.1495 5.2504
3.1495 5.2504 5.2504
3.1495 3.1495 3.1495
5.2504 5.2504 3.1495
6.2999 6.2999 6.2999
0.0000 0.0000 0.0000
```

***

# 15
## ScHgSe2 (PBE)

Data for a relaxed ScHgSe2 crystal.

Values from the calculation:
- DOS(E_F): 2.13 states/eV/cell
- Formation energy without anion corrections: -0.81 eV/atom
- Electronic total energy: -4.210 eV/atom
- Total magnetization: 0.00 μB/f.u.

POSCAR file:
```
ScHgSe2
1.0
3.4881 0.0000 0.0000
0.0000 3.4881 0.0000
0.0000 0.0000 7.5540
Se Hg Sc
2 1 1
Cartesian
0.0000 0.0000 7.1195
0.0000 0.0000 4.2115
1.7441 1.7441 1.8885
1.7441 1.7441 5.6655
```

***

# 16
## ScHg3Se (PBE)

Data for a relaxed ScHg3Se crystal.

Values from the calculation:
- DOS(E_F): 5.32 states/eV/cell
- E above lowest polymorph: 0.1136 eV per atom
- Formation energy without anion corrections: 0.52 eV/atom
- Electronic total energy: -1.620 eV/atom
- Total magnetization: 0.99 μB/f.u.

POSCAR file:
```
ScHg3Se
1.0
5.3627 0.0000 0.0000
0.0000 5.3627 0.0000
0.0000 0.0000 5.3627
Sc Se Hg
1 1 3
Cartesian
2.6813 2.6813 2.6813
0.0000 0.0000 0.0000
0.0000 0.0000 2.6813
2.6813 0.0000 0.0000
0.0000 2.6813 0.0000
```

***

# 17
## ScHgSe (PBE)

Data for a relaxed ScHgSe crystal.

Values from the calculation:
- DOS(E_F): 1.52 states/eV/cell
- E above lowest polymorph: 0.0000 eV per atom
- Formation energy without anion corrections: -0.83 eV/atom
- Electronic total energy: -4.198 eV/atom
- Total magnetization: 0.00 μB/f.u.

POSCAR file:
```
ScHgSe
1.0
6.7049 0.0352 -0.0377
5.7934 3.3751 -0.0290
0.9115 0.2391 3.3314
Hg Se Sc
1 1 1
Cartesian
12.2128 3.3321 0.0171
9.2031 2.5084 0.8997
4.4924 1.2192 2.2812
```

***

# 18
## ScHgSe2 (PBE)

Data for a relaxed ScHgSe2 crystal.

Values from the calculation:
- DOS(E_F): 1.97 states/eV/cell
- Formation energy without anion corrections: -0.97 eV/atom
- Electronic total energy: -4.370 eV/atom
- Total magnetization: 0.00 μB/f.u.

POSCAR file:
```
ScHgSe2
1.0
-2.3192 0.9430 -3.0874
1.2896 -0.3465 -3.7439
-2.7391 -7.2862 -0.7462
Hg Se Sc
1 2 1
Cartesian
-2.8265 -5.0173 -5.6831
-1.7875 -2.8701 -4.1890
-1.1264 0.1218 -6.4310
-0.9422 -1.6724 -1.8944
```

***

# 19
## Sc2TiHgSe (PBE)

Data for a relaxed Sc2TiHgSe crystal.

Values from the calculation:
- DOS(E_F): 7.55 states/eV/cell
- Formation energy without anion corrections: 0.17 eV/atom
- Electronic total energy: -4.694 eV/atom
- Total magnetization: 2.82 μB/f.u.

POSCAR file:
```
Sc2TiHgSe
1.0
-0.1828 1.4252 -4.7352
5.0063 -1.5867 -0.6709
-1.5997 -4.5007 -1.2929
Sc Ti Se Hg
2 1 1 1
Cartesian
-0.7998 -2.2503 -0.6465
-0.0914 0.7126 -2.3676
1.6119 -2.3311 -3.3495
0.0000 0.0000 0.0000
2.5032 -0.7933 -0.3354
```

***

# 20
## ScTlHg2Se (PBE)

Data for a relaxed ScTlHg2Se crystal.

Values from the calculation:
- DOS(E_F): 5.26 states/eV/cell
- Formation energy without anion corrections: 0.06 eV/atom
- Electronic total energy: -2.501 eV/atom
- Total magnetization: 0.00 μB/f.u.

POSCAR file:
```
ScTlHg2Se
1.0
5.6312 0.0000 0.0000
0.0000 4.9565 0.0000
0.0000 0.0000 5.6312
Hg Se Tl Sc
2 1 1 1
Cartesian
2.8156 0.0000 0.0000
0.0000 0.0000 2.8156
0.0000 0.0000 0.0000
2.8156 2.4782 2.8156
0.0000 2.4782 0.0000
```

***

# 21
## ScSiHg3 (PBE)

Data for a relaxed ScSiHg3 crystal.

Values from the calculation:
- DOS(E_F): 4.83 states/eV/cell
- E above lowest polymorph: 0.4314 eV per atom
- Formation energy without anion corrections: 0.82 eV/atom
- Electronic total energy: -1.712 eV/atom
- Total magnetization: 0.00 μB/f.u.

POSCAR file:
```
ScSiHg3
1.0
5.4329 0.0000 0.0000
0.0000 5.4329 0.0000
0.0000 0.0000 5.4329
Hg Sc Si
3 1 1
Cartesian
0.0000 2.7165 0.0000
2.7165 0.0000 0.0000
0.0000 0.0000 2.7165
0.0000 0.0000 0.0000
2.7165 2.7165 2.7165
```

***

# 22
## Sc2SiHg2 (PBE)

Data for a relaxed Sc2SiHg2 crystal.

Values from the calculation:
- DOS(E_F): 5.06 states/eV/cell
- E above lowest polymorph: 0.0000 eV per atom
- Formation energy without anion corrections: -0.19 eV/atom
- Electronic total energy: -3.932 eV/atom
- Total magnetization: 0.00 μB/f.u.

POSCAR file:
```
Sc2SiHg2
1.0
7.0071 0.0000 0.0000
0.0000 7.0071 0.0000
0.0000 0.0000 4.3254
Sc Hg Si
4 4 2
Cartesian
2.3393 1.1643 2.1627
1.1643 4.6678 2.1627
4.6678 5.8429 2.1627
5.8429 2.3393 2.1627
6.0191 4.4916 0.0000
0.9880 2.5155 0.0000
2.5155 6.0191 0.0000
4.4916 0.9880 0.0000
3.5036 3.5036 0.0000
0.0000 0.0000 0.0000
```

***

# 23
## Sc2SiHg (PBE)

Data for a relaxed Sc2SiHg crystal.

Values from the calculation:
- DOS(E_F): 4.68 states/eV/cell
- Formation energy without anion corrections: 0.16 eV/atom
- Electronic total energy: -4.436 eV/atom
- Total magnetization: 0.34 μB/f.u.

POSCAR file:
```
Sc2SiHg
1.0
1.8750 0.0000 10.1657
-0.9375 1.6238 10.1657
-0.9375 -1.6238 10.1657
Si Sc Hg
1 2 1
Cartesian
0.0000 0.0000 0.0000
0.0000 0.0000 2.6847
0.0000 0.0000 27.8125
0.0000 0.0000 15.2486
```

***

# 24
## Sc2SiHg (PBE)

Data for a relaxed Sc2SiHg crystal.

Values from the calculation:
- DOS(E_F): 3.33 states/eV/cell
- Formation energy without anion corrections: -0.25 eV/atom
- Electronic total energy: -4.848 eV/atom
- Total magnetization: 0.00 μB/f.u.

POSCAR file:
```
Sc2SiHg
1.0
-0.1265 -3.0652 2.3289
-2.3219 -1.7978 -2.4924
4.6274 -2.2391 -2.6957
Hg Sc Si
1 2 1
Cartesian
2.4240 -4.1968 -2.2070
0.2039 -3.1225 -0.9137
4.4964 -2.1757 -2.6194
1.9959 -0.9657 -1.1627
```

***

# 25
## ScSi3Hg (PBE)

Data for a relaxed ScSi3Hg crystal.

Values from the calculation:
- DOS(E_F): 4.84 states/eV/cell
- E above lowest polymorph: 0.0000 eV per atom
- Formation energy without anion corrections: 0.88 eV/atom
- Electronic total energy: -3.704 eV/atom
- Total magnetization: 0.00 μB/f.u.

POSCAR file:
```
ScSi3Hg
1.0
-2.7138 1.2658 -4.1363
-0.3009 -4.9263 -1.3101
-4.3151 -0.4526 2.6926
Sc Si Hg
1 3 1
Cartesian
0.0000 0.0000 0.0000
-0.1504 -2.4632 -0.6551
-1.3569 0.6329 -2.0681
-2.1576 -0.2263 1.3463
-3.6649 -2.0566 -1.3769
```

***

# 26
## Sc2SiHg (PBE)

Data for a relaxed Sc2SiHg crystal.

Values from the calculation:
- DOS(E_F): 3.34 states/eV/cell
- Formation energy without anion corrections: -0.40 eV/atom
- Electronic total energy: -4.998 eV/atom
- Total magnetization: 0.00 μB/f.u.

POSCAR file:
```
Sc2SiHg
1.0
-2.3669 -2.6730 2.0118
1.3549 -1.6873 3.4802
-2.8648 3.2040 5.1104
Sc Si Hg
2 1 1
Cartesian
-2.7426 2.9796 4.9512
-2.0606 -0.3538 5.4604
-2.9076 -0.8673 7.9518
-0.9692 -0.2891 2.6506
```

***

# 27
## Sc2SiHg (PBE)

Data for a relaxed Sc2SiHg crystal.

Values from the calculation:
- DOS(E_F): 5.96 states/eV/cell
- Formation energy without anion corrections: -0.17 eV/atom
- Electronic total energy: -4.767 eV/atom
- Total magnetization: 0.00 μB/f.u.

POSCAR file:
```
Sc2SiHg
1.0
-0.6816 2.8837 6.8481
-7.3478 -1.2845 -0.1904
-3.5392 -2.1090 4.6009
Sc Si Hg
4 2 2
Cartesian
-5.5770 -0.9075 2.0347
-5.8236 -1.0097 5.9432
-9.5219 -0.1548 9.2802
-2.2146 1.0524 5.2590
-7.4508 -1.2969 3.8697
-4.0147 0.7996 3.3288
-4.1177 0.7871 7.3889
0.0000 0.0000 0.0000
```

***

# 28
## ScSiHg3 (PBE)

Data for a relaxed ScSiHg3 crystal.

Values from the calculation:
- DOS(E_F): 3.29 states/eV/cell
- E above lowest polymorph: 0.0000 eV per atom
- Formation energy without anion corrections: 0.39 eV/atom
- Electronic total energy: -2.143 eV/atom
- Total magnetization: 0.00 μB/f.u.

POSCAR file:
```
ScSiHg3
1.0
5.0339 0.0000 0.0000
0.0000 5.0339 0.0000
0.0000 0.0000 5.0339
Hg Sc Si
3 1 1
Cartesian
0.0000 2.5170 0.0000
0.0000 0.0000 2.5170
2.5170 0.0000 0.0000
2.5170 2.5170 2.5170
0.0000 0.0000 0.0000
```